DyCd2Hg6: optimized geometry, GGA-PBE.

Summary:
- mass density (g/cm³) = 11.98
- E_form (kJ per mole of atoms) = -12.71
- DOS at the Fermi energy (states/eV/f.u.) = 3.3

POSCAR file:
```
DyCd2Hg6
1.0
4.4541 -2.5716 0.0000
4.4541 2.5716 0.0000
-0.0095 0.0000 9.6250
Dy Cd Hg
1 2 6
Cartesian
0.0000 0.0000 0.0000 Dy
2.9692 0.0000 1.8022 Cd
5.9295 0.0000 7.8228 Cd
-0.0017 0.0000 3.1684 Hg
8.9004 0.0000 6.4566 Hg
2.9644 0.0000 5.0539 Hg
2.9600 0.0000 8.3107 Hg
5.9386 0.0000 1.3143 Hg
5.9343 0.0000 4.5711 Hg
```

---

Ca2H4Rh: optimized geometry, GGA-PBE.

Summary:
- mass density (g/cm³) = 3.55
- VASP energy (eV per atom) = -4.04
- DOS at the Fermi energy (states/eV/f.u.) = 2.8

POSCAR file:
```
Ca2H4Rh
1.0
-1.8445 1.8445 6.4283
1.8445 -1.8445 6.4283
1.8445 1.8445 -6.4283
Ca H Rh
2 4 1
Cartesian
0.0000 0.0000 1.6906 Ca
0.0000 0.0000 11.1660 Ca
1.8445 0.0000 0.0000 H
0.0000 0.0000 4.6309 H
0.0000 1.8445 0.0000 H
0.0000 0.0000 8.2257 H
0.0000 0.0000 6.4283 Rh
```

---

PmNd2Ho5Tm: optimized geometry, GGA-PBE.

Summary:
- mass density (g/cm³) = 8.09
- E_form (kJ per mole of atoms) = 26.19
- DOS at the Fermi energy (states/eV/f.u.) = 10.8

POSCAR file:
```
PmNd2Ho5Tm
1.0
-4.3439 4.3439 7.7575
4.3439 -4.3439 7.7575
4.3439 4.3439 -7.7575
Pm Nd Ho Tm
2 4 10 2
Cartesian
0.0000 0.0000 3.8788 Pm
0.0000 0.0000 11.6363 Pm
5.3616 1.0176 0.0000 Nd
1.0176 3.3263 0.0000 Nd
3.3263 1.0176 7.7575 Nd
-1.0176 3.3263 7.7575 Nd
0.0000 0.0000 0.0000 Ho
2.5091 1.8348 -2.1550 Ho
2.5091 -1.8348 5.6025 Ho
2.5091 1.8348 2.1550 Ho
2.5091 -1.8348 9.9125 Ho
0.0000 0.0000 7.7575 Ho
1.8348 6.1788 -2.1550 Ho
1.8348 2.5091 5.6025 Ho
1.8348 6.1788 2.1550 Ho
1.8348 2.5091 9.9125 Ho
4.3439 0.0000 3.8788 Tm
0.0000 4.3439 3.8788 Tm
```

---

CdMoRu2: optimized geometry, GGA-PBE.

Summary:
- mass density (g/cm³) = 10.66
- E_form (kJ per mole of atoms) = 29.47
- DOS at the Fermi energy (states/eV/f.u.) = 4.9

POSCAR file:
```
CdMoRu2
1.0
2.8019 0.0000 0.0000
0.0000 4.0697 0.0000
-0.0079 0.0000 5.6082
Cd Mo Ru
1 1 2
Cartesian
0.0000 0.0000 0.0000 Cd
1.3987 2.0349 1.6983 Mo
1.3941 2.0349 4.1439 Ru
2.7955 0.0000 2.7995 Ru
```

---

Y3Sn4: optimized geometry, GGA-PBE.

Summary:
- mass density (g/cm³) = 6.37
- E_form (kJ per mole of atoms) = -65.71
- DOS at the Fermi energy (states/eV/f.u.) = 2.7

POSCAR file:
```
Y3Sn4
1.0
2.1692 -5.7342 0.0000
2.1692 5.7342 0.0000
0.0000 0.0000 15.5354
Y Sn
6 8
Cartesian
2.1692 5.0098 11.6515 Y
2.1692 1.8735 9.2880 Y
2.1692 1.8735 14.0151 Y
2.1692 -1.8735 1.5203 Y
2.1692 -1.8735 6.2474 Y
2.1692 -5.0098 3.8838 Y
0.0000 0.0000 0.0000 Sn
0.0000 0.0000 7.7677 Sn
2.1692 3.4065 3.8838 Sn
2.1692 1.4593 1.6761 Sn
2.1692 1.4593 6.0916 Sn
2.1692 -1.4593 9.4438 Sn
2.1692 -1.4593 13.8593 Sn
2.1692 -3.4065 11.6515 Sn
```

---

V2ZnCu: optimized geometry, GGA-PBE.

Summary:
- mass density (g/cm³) = 7.15
- E_form (kJ per mole of atoms) = 11.86
- DOS at the Fermi energy (states/eV/f.u.) = 4.6

POSCAR file:
```
V2ZnCu
1.0
1.3071 0.7547 9.0575
-1.3071 0.7547 9.0575
0.0000 -1.5093 9.0575
V Zn Cu
2 1 1
Cartesian
0.0000 0.0000 0.0000 V
0.0000 0.0000 11.3998 V
0.0000 0.0000 22.7882 Zn
0.0000 0.0000 15.9096 Cu
```

---

CaCd2Hg: optimized geometry, GGA-PBE.

Summary:
- mass density (g/cm³) = 6.85
- E_form (kJ per mole of atoms) = -14.70
- DOS at the Fermi energy (states/eV/f.u.) = 1.9

POSCAR file:
```
CaCd2Hg
1.0
-4.2442 4.2442 3.1317
4.2442 -4.2442 3.1317
4.2442 4.2442 -3.1317
Ca Cd Hg
2 4 2
Cartesian
0.0000 0.0000 0.0000 Ca
0.0000 4.2442 1.5659 Ca
2.1221 -1.8556 2.3488 Cd
2.3887 2.1221 0.7829 Cd
2.1221 6.0998 -0.7829 Cd
1.8556 2.1221 3.9146 Cd
4.2442 0.0000 1.5659 Hg
0.0000 0.0000 3.1317 Hg
```

---

K5Ho2F12: optimized geometry, GGA-PBE.

Summary:
- mass density (g/cm³) = 3.57
- uncorrected formation energy (kJ/mol of formula units) = -5852
- DOS at the Fermi energy (states/eV/f.u.) = 14.0

POSCAR file:
```
K5Ho2F12
1.0
6.6315 -3.9838 0.0000
6.6315 3.9838 0.0000
-0.7492 0.0000 6.6254
K Ho F
5 2 12
Cartesian
0.0000 0.0000 0.0000 K
2.8738 0.0000 2.9991 K
3.9376 0.0000 6.3539 K
8.5763 0.0000 0.2715 K
9.6400 0.0000 3.6263 K
6.2569 1.9583 3.3127 Ho
6.2569 -1.9583 3.3127 Ho
0.4734 0.0000 4.1931 F
4.7047 2.4049 4.8590 F
4.6670 1.5379 1.8158 F
7.8092 2.4049 1.7664 F
7.8469 1.5379 4.8096 F
5.3741 0.0000 4.2128 F
7.1398 0.0000 2.4126 F
4.6670 -1.5379 1.8158 F
4.7047 -2.4049 4.8590 F
7.8469 -1.5379 4.8096 F
7.8092 -2.4049 1.7664 F
12.0404 0.0000 2.4323 F
```

---

Pu3Sc2PaSe6: optimized geometry, GGA-PBE.

Summary:
- mass density (g/cm³) = 9.09
- uncorrected formation energy (kJ/mol of formula units) = -1730
- DOS at the Fermi energy (states/eV/f.u.) = 24.1

POSCAR file:
```
Pu3Sc2PaSe6
1.0
8.7670 -2.0033 0.0000
8.7670 2.0033 0.0000
-1.7137 0.0000 7.9436
Pu Sc Pa Se
3 2 1 6
Cartesian
0.0000 0.0000 0.0000 Pu
4.7801 0.0000 5.2681 Pu
11.0402 0.0000 2.6755 Pu
5.5633 0.0000 1.2765 Sc
10.2570 0.0000 6.6671 Sc
-0.8569 0.0000 3.9718 Pa
1.9323 0.0000 4.7790 Se
2.8800 0.0000 0.6032 Se
8.2178 0.0000 1.9437 Se
7.6024 0.0000 6.0000 Se
12.9403 0.0000 7.3405 Se
13.8880 0.0000 3.1646 Se
```

---

MgIn3N: optimized geometry, GGA-PBE.

Summary:
- mass density (g/cm³) = 5.69
- uncorrected formation energy (kJ/mol of formula units) = 214
- DOS at the Fermi energy (states/eV/f.u.) = 1.9

POSCAR file:
```
MgIn3N
1.0
4.8147 0.0000 0.0000
0.0000 4.8147 0.0000
0.0000 0.0000 4.8147
Mg In N
1 3 1
Cartesian
0.0000 0.0000 0.0000 Mg
0.0000 2.4073 2.4073 In
2.4073 0.0000 2.4073 In
2.4073 2.4073 0.0000 In
2.4073 2.4073 2.4073 N
```

---

AcNd8Er2: optimized geometry, GGA-PBE.

Summary:
- mass density (g/cm³) = 7.36
- E_form (kJ per mole of atoms) = 2.48
- DOS at the Fermi energy (states/eV/f.u.) = 17.6

POSCAR file:
```
AcNd8Er2
1.0
9.3752 -2.6016 0.0000
9.3752 2.6016 0.0000
-2.1790 0.0000 7.9330
Ac Nd Er
1 8 2
Cartesian
0.0000 0.0000 0.0000 Ac
0.7527 0.0000 3.6587 Nd
1.4601 0.0000 7.2187 Nd
4.9870 0.0000 6.4164 Nd
7.8793 0.0000 2.1921 Nd
8.6921 0.0000 5.7409 Nd
11.5844 0.0000 1.5166 Nd
15.1112 0.0000 0.7143 Nd
15.8187 0.0000 4.2743 Nd
4.2950 0.0000 2.8943 Er
12.2764 0.0000 5.0386 Er
```

---

HoZn4Au12: optimized geometry, GGA-PBE.

Summary:
- mass density (g/cm³) = 13.11
- E_form (kJ per mole of atoms) = 0.69
- DOS at the Fermi energy (states/eV/f.u.) = 6.8

POSCAR file:
```
HoZn4Au12
1.0
-4.4534 4.4534 4.4534
4.4534 -4.4534 4.4534
4.4534 4.4534 -4.4534
Ho Zn Au
1 4 12
Cartesian
0.0000 0.0000 0.0000 Ho
2.2267 2.2267 -2.2267 Zn
2.2267 -2.2267 2.2267 Zn
-2.2267 2.2267 2.2267 Zn
2.2267 2.2267 2.2267 Zn
3.0452 0.0000 1.3689 Au
5.8617 0.0000 1.3689 Au
4.4534 3.0845 -1.4083 Au
1.3689 3.0452 0.0000 Au
3.0845 -1.4083 4.4534 Au
0.0000 1.3689 3.0452 Au
4.4534 3.0845 1.4083 Au
1.3689 5.8617 0.0000 Au
3.0845 1.4083 4.4534 Au
0.0000 1.3689 5.8617 Au
-1.4083 4.4534 3.0845 Au
1.4083 4.4534 3.0845 Au
```

---

Please write out number 3 again, unchanged.
PmNd2Ho5Tm: optimized geometry, GGA-PBE.

Summary:
- mass density (g/cm³) = 8.09
- E_form (kJ per mole of atoms) = 26.19
- DOS at the Fermi energy (states/eV/f.u.) = 10.8

POSCAR file:
```
PmNd2Ho5Tm
1.0
-4.3439 4.3439 7.7575
4.3439 -4.3439 7.7575
4.3439 4.3439 -7.7575
Pm Nd Ho Tm
2 4 10 2
Cartesian
0.0000 0.0000 3.8788 Pm
0.0000 0.0000 11.6363 Pm
5.3616 1.0176 0.0000 Nd
1.0176 3.3263 0.0000 Nd
3.3263 1.0176 7.7575 Nd
-1.0176 3.3263 7.7575 Nd
0.0000 0.0000 0.0000 Ho
2.5091 1.8348 -2.1550 Ho
2.5091 -1.8348 5.6025 Ho
2.5091 1.8348 2.1550 Ho
2.5091 -1.8348 9.9125 Ho
0.0000 0.0000 7.7575 Ho
1.8348 6.1788 -2.1550 Ho
1.8348 2.5091 5.6025 Ho
1.8348 6.1788 2.1550 Ho
1.8348 2.5091 9.9125 Ho
4.3439 0.0000 3.8788 Tm
0.0000 4.3439 3.8788 Tm
```